This record from Alexandria describes an optimized crystal structure of CrRuRh2. The functional is GGA-PBE.

a = 2.6891 Å, b = 2.6891 Å, c = 7.4878 Å
α = 90.00°, β = 90.00°, γ = 90.00°
With the nearest neighbours (Å) after each atom.
Fractional positions:
Cr  0.0000  0.0000  0.0000  4 Rh 2.58, 4 Ru 2.61, 4 Cr 2.69
Ru  0.5000  0.5000  0.7621  4 Cr 2.61, 4 Ru 2.69, 4 Rh 2.70
Rh  0.0000  0.0000  0.5063  8 Rh 2.69-2.79, 4 Ru 2.70
Rh  0.5000  0.5000  0.2337  4 Cr 2.58, 8 Rh 2.69-2.79

Properties
Formation enthalpy at 0 K, eV per atom: 0.00